# 1
Below is a relaxed Mn3NbCl crystal, with properties calculated at the GGA-PBE level.

Properties
N(E_F)   1.606 states/eV per atom
Symmetry   No. 221
Size of the total moment   0.000 μB per atom
ΔE to the lowest computed polymorph   0.00 eV per formula unit
E_form (uncorrected)   0.818 eV per atom

POSCAR file:
```
Mn3NbCl
1.0
4.088 0.000 0.000
0.000 4.088 0.000
0.000 0.000 4.088
Nb Cl Mn
1 1 3
direct
0.500 0.500 0.500 Nb
0.000 0.000 0.000 Cl
0.500 0.000 0.000 Mn
0.000 0.000 0.500 Mn
0.000 0.500 0.000 Mn
```


# 2
Below is a relaxed Mn3NbCl crystal, with properties calculated at the GGA-PBE level.

Properties
N(E_F)   0.910 states/eV per atom
Symmetry   No. 221
Size of the total moment   1.757 μB per atom
ΔE to the lowest computed polymorph   2.40 eV per formula unit
E_form (uncorrected)   1.298 eV per atom

POSCAR file:
```
Mn3NbCl
1.0
-1.617 -4.332 1.514
4.045 -0.588 2.639
-2.166 2.136 3.797
Mn Nb Cl
3 1 1
direct
0.500 0.000 0.000 Mn
0.000 0.000 0.500 Mn
0.000 0.500 0.000 Mn
0.000 0.000 0.000 Nb
0.500 0.500 0.500 Cl
```


# 3
Below is a relaxed MnNb2Cl crystal, with properties calculated at the GGA-PBE level.

Properties
N(E_F)   1.027 states/eV per atom
Symmetry   No. 122
Size of the total moment   0.000 μB per atom
ΔE to the lowest computed polymorph   1.17 eV per formula unit
E_form (uncorrected)   0.793 eV per atom

POSCAR file:
```
MnNb2Cl
1.0
5.143 0.000 0.000
0.000 5.143 0.000
2.571 2.571 6.306
Cl Nb Mn
2 4 2
direct
0.500 0.500 0.000 Cl
0.250 0.750 0.500 Cl
0.095 0.625 0.250 Nb
0.375 0.345 0.750 Nb
0.875 0.905 0.750 Nb
0.655 0.125 0.250 Nb
0.750 0.250 0.500 Mn
0.000 0.000 0.000 Mn
```


- What is the size of the total moment in the second record?
  1.757 μB per atom